Entry from the Alexandria database: a relaxed KTe2Pb2 crystal (PBE).

Cell and atoms, written as extended XYZ:
```
10
Lattice="9.014 0.000 0.000 0.000 9.014 0.000 0.000 0.000 4.336" Properties=species:S:1:pos:R:3 pbc="T T T"
Pb 7.804 3.297 2.168
Te 5.931 1.423 0.000
Pb 5.717 7.804 2.168
Pb 1.210 5.717 2.168
K 4.507 4.507 0.000
Te 1.423 3.084 0.000
K 0.000 0.000 0.000
Te 7.591 5.931 0.000
Pb 3.297 1.210 2.168
Te 3.084 7.591 0.000
```

As for the symmetry: P4/mbm. Its excess energy over the best structure of this formula in the dataset is 0.081 eV per atom. Its formation energy (no corrections) is -1.9 eV per formula unit. Its total magnetization is 0.00 μB/f.u. Its crystal system is tetragonal.

---

Entry from the Alexandria database: a relaxed AcLa4Pm2Ho crystal (PBE).

Cell and atoms, written as extended XYZ:
```
8
Lattice="-3.235 -2.269 3.484 0.917 -6.324 0.716 4.158 1.514 8.829" Properties=species:S:1:pos:R:3 pbc="T T T"
La -0.949 -5.188 3.705
La 2.790 -1.891 9.324
La 2.343 -0.106 6.089
Pm 0.402 -1.741 3.222
Pm 1.438 -5.338 9.807
La -0.503 -6.973 6.940
Ac 0.920 -3.540 6.514
Ho 0.000 0.000 0.000
```

As for the symmetry: C2/m. Its total magnetization is 0.00 μB/f.u. Its crystal system is monoclinic. Its energy of formation from the pure elements is 28 meV per atom.